Entry 1:
A plane-wave DFT calculation with PBE was carried out for crystalline ZnCo2Sb at its relaxed geometry.

* magnetization: 2.9 μB/cell
* symmetry: Amm2 (38)
* density of states at the Fermi level: 1.17 states/eV/atom

Lattice parameters (Å, degrees): 3.9738 3.1705 9.3682 90.00 90.00 90.00
Last column: nearest neighbours and their distance in Å.
Fractional positions:
Zn (0.0000, 0.0000, 0.0000)  7 Co 2.56-2.67
Zn (0.0000, 0.5000, 0.5000)  7 Co 2.56-2.67
Co (0.0000, 0.0000, 0.7149)  2 Co 2.43, 3 Zn 2.56-2.67, 4 Sb 2.65
Co (0.0000, 0.5000, 0.2149)  2 Co 2.43, 3 Zn 2.56-2.67, 4 Sb 2.65
Co (0.5000, 0.0000, 0.5655)  2 Co 2.43, 3 Sb 2.55-2.66, 4 Zn 2.61
Co (0.5000, 0.5000, 0.0655)  2 Co 2.43, 3 Sb 2.55-2.66, 4 Zn 2.61
Sb (0.5000, 0.0000, 0.2935)  7 Co 2.55-2.66
Sb (0.5000, 0.5000, 0.7935)  7 Co 2.55-2.66

Entry 2:
A plane-wave DFT calculation with PBE was carried out for crystalline Zn2CoSb at its relaxed geometry.

* magnetization: 0.0 μB/cell
* symmetry: P4/mmm (123)
* density of states at the Fermi level: 0.55 states/eV/atom

Lattice parameters (Å, degrees): 3.0119 3.0119 7.5642 90.00 90.00 90.00
Last column: nearest neighbours and their distance in Å.
Fractional positions:
Zn (0.0000, 0.0000, 0.1761)  4 Co 2.51, 1 Zn 2.66
Zn (0.0000, 0.0000, 0.8239)  4 Co 2.51, 1 Zn 2.66
Co (0.5000, 0.5000, 0.0000)  8 Zn 2.51
Sb (0.5000, 0.5000, 0.5000)  4 Sb 3.01, 8 Zn 3.25

Entry 3:
A plane-wave DFT calculation with PBE was carried out for crystalline Zn3CoSb at its relaxed geometry.

* magnetization: 0.5 μB/cell
* symmetry: Pm-3m (221)
* density of states at the Fermi level: 0.88 states/eV/atom

Lattice parameters (Å, degrees): 4.5986 4.5986 4.5986 90.00 90.00 90.00
Last column: nearest neighbours and their distance in Å.
Fractional positions:
Zn (0.0000, 0.0000, 0.5000)  2 Co 2.30
Zn (0.0000, 0.5000, 0.0000)  2 Co 2.30
Zn (0.5000, 0.0000, 0.0000)  2 Co 2.30
Co (0.0000, 0.0000, 0.0000)  6 Zn 2.30
Sb (0.5000, 0.5000, 0.5000)  12 Zn 3.25

Entry 4:
A plane-wave DFT calculation with PBE was carried out for crystalline ZnCoSb2 at its relaxed geometry.

* magnetization: 0.0 μB/cell
* symmetry: I-42d (122)
* density of states at the Fermi level: 0.85 states/eV/atom

Lattice parameters (Å, degrees): 5.8453 5.8453 12.0900 90.00 90.00 90.00
Last column: nearest neighbours and their distance in Å.
Fractional positions:
Zn (0.0000, 0.0000, 0.0000)  4 Sb 2.71
Zn (0.0000, 0.5000, 0.2500)  4 Sb 2.71
Zn (0.5000, 0.0000, 0.7500)  4 Sb 2.71
Zn (0.5000, 0.5000, 0.5000)  4 Sb 2.71
Co (0.0000, 0.0000, 0.5000)  4 Sb 2.42
Co (0.0000, 0.5000, 0.7500)  4 Sb 2.42
Co (0.5000, 0.0000, 0.2500)  4 Sb 2.42
Co (0.5000, 0.5000, 0.0000)  4 Sb 2.42
Sb (0.2068, 0.2500, 0.6250)  2 Co 2.42, 2 Zn 2.71
Sb (0.2500, 0.7068, 0.8750)  2 Co 2.42, 2 Zn 2.71
Sb (0.2500, 0.7932, 0.3750)  2 Co 2.42, 2 Zn 2.71
Sb (0.2932, 0.2500, 0.1250)  2 Co 2.42, 2 Zn 2.71
Sb (0.7068, 0.7500, 0.1250)  2 Co 2.42, 2 Zn 2.71
Sb (0.7500, 0.2068, 0.3750)  2 Co 2.42, 2 Zn 2.71
Sb (0.7500, 0.2932, 0.8750)  2 Co 2.42, 2 Zn 2.71
Sb (0.7932, 0.7500, 0.6250)  2 Co 2.42, 2 Zn 2.71

Entry 5:
A plane-wave DFT calculation with PBE was carried out for crystalline ZnCo2Sb at its relaxed geometry.

* magnetization: 4.5 μB/cell
* symmetry: I-42d (122)
* density of states at the Fermi level: 0.94 states/eV/atom

Lattice parameters (Å, degrees): 6.7079 6.7079 5.4555 90.00 90.00 90.00
Last column: nearest neighbours and their distance in Å.
Fractional positions:
Zn (0.0000, 0.0000, 0.0000)  4 Co 2.42
Zn (0.0000, 0.5000, 0.2500)  4 Co 2.42
Zn (0.5000, 0.0000, 0.7500)  4 Co 2.42
Zn (0.5000, 0.5000, 0.5000)  4 Co 2.42
Co (0.2402, 0.2500, 0.1250)  2 Zn 2.42, 2 Sb 2.51
Co (0.2500, 0.7402, 0.3750)  2 Zn 2.42, 2 Sb 2.51
Co (0.2500, 0.7598, 0.8750)  2 Zn 2.42, 2 Sb 2.51
Co (0.2598, 0.2500, 0.6250)  2 Zn 2.42, 2 Sb 2.51
Co (0.7402, 0.7500, 0.6250)  2 Zn 2.42, 2 Sb 2.51
Co (0.7500, 0.2402, 0.8750)  2 Zn 2.42, 2 Sb 2.51
Co (0.7500, 0.2598, 0.3750)  2 Zn 2.42, 2 Sb 2.51
Co (0.7598, 0.7500, 0.1250)  2 Zn 2.42, 2 Sb 2.51
Sb (0.0000, 0.0000, 0.5000)  4 Co 2.51, 2 Zn 2.73
Sb (0.0000, 0.5000, 0.7500)  4 Co 2.51, 2 Zn 2.73
Sb (0.5000, 0.0000, 0.2500)  4 Co 2.51, 2 Zn 2.73
Sb (0.5000, 0.5000, 0.0000)  4 Co 2.51, 2 Zn 2.73

Entry 6:
A plane-wave DFT calculation with PBE was carried out for crystalline ZnCoSb3 at its relaxed geometry.

* magnetization: 0.0 μB/cell
* symmetry: Pm-3m (221)
* density of states at the Fermi level: 0.71 states/eV/atom

Lattice parameters (Å, degrees): 4.9753 4.9753 4.9753 90.00 90.00 90.00
Last column: nearest neighbours and their distance in Å.
Fractional positions:
Zn (0.0000, 0.0000, 0.0000)  12 Sb 3.52
Co (0.5000, 0.5000, 0.5000)  6 Sb 2.49
Sb (0.0000, 0.5000, 0.5000)  2 Co 2.49
Sb (0.5000, 0.0000, 0.5000)  2 Co 2.49
Sb (0.5000, 0.5000, 0.0000)  2 Co 2.49

Entry 7:
A plane-wave DFT calculation with PBE was carried out for crystalline ZnCo2Sb2 at its relaxed geometry.

* magnetization: 0.0 μB/cell
* symmetry: P4/mbm (127)
* density of states at the Fermi level: 0.90 states/eV/atom

Lattice parameters (Å, degrees): 6.7279 6.7279 3.6406 90.00 90.00 90.00
Last column: nearest neighbours and their distance in Å.
Fractional positions:
Zn (0.0000, 0.0000, 0.0000)  4 Co 2.60
Zn (0.5000, 0.5000, 0.0000)  4 Co 2.60
Co (0.1388, 0.3612, 0.0000)  2 Zn 2.60, 6 Sb 2.62-2.73, 1 Co 2.64
Co (0.3612, 0.8612, 0.0000)  2 Zn 2.60, 6 Sb 2.62-2.73, 1 Co 2.64
Co (0.6388, 0.1388, 0.0000)  2 Zn 2.60, 6 Sb 2.62-2.73, 1 Co 2.64
Co (0.8612, 0.6388, 0.0000)  2 Zn 2.60, 6 Sb 2.62-2.73, 1 Co 2.64
Sb (0.1631, 0.6631, 0.5000)  6 Co 2.62-2.73
Sb (0.3369, 0.1631, 0.5000)  6 Co 2.62-2.73
Sb (0.6631, 0.8369, 0.5000)  6 Co 2.62-2.73
Sb (0.8369, 0.3369, 0.5000)  6 Co 2.62-2.73

Entry 8:
A plane-wave DFT calculation with PBE was carried out for crystalline Zn2CoSb at its relaxed geometry.

* magnetization: 3.5 μB/cell
* symmetry: R-3m (166)
* density of states at the Fermi level: 0.81 states/eV/atom

Lattice parameters (Å, degrees): 3.1477 3.1477 24.8084 90.00 90.00 120.00
Last column: nearest neighbours and their distance in Å.
Fractional positions:
Zn (0.0000, 0.0000, 0.2367)  3 Co 2.51
Zn (0.0000, 0.0000, 0.7633)  3 Co 2.51
Zn (0.3333, 0.6667, 0.4300)  3 Co 2.51
Zn (0.3333, 0.6667, 0.9033)  3 Co 2.51
Zn (0.6667, 0.3333, 0.0967)  3 Co 2.51
Zn (0.6667, 0.3333, 0.5700)  3 Co 2.51
Co (0.0000, 0.0000, 0.5000)  6 Zn 2.51
Co (0.3333, 0.6667, 0.1667)  6 Zn 2.51
Co (0.6667, 0.3333, 0.8333)  6 Zn 2.51
Sb (0.0000, 0.0000, 0.0000)  6 Zn 3.01, 6 Sb 3.15
Sb (0.3333, 0.6667, 0.6667)  6 Zn 3.01, 6 Sb 3.15
Sb (0.6667, 0.3333, 0.3333)  6 Zn 3.01, 6 Sb 3.15

Number 1: formation energy from raw total energies 0.1380 eV per atom. Number 2: formation energy from raw total energies 0.1883 eV per atom. Number 3: formation energy from raw total energies 0.4150 eV per atom. Number 4: formation energy from raw total energies 0.2434 eV per atom. Number 5: formation energy from raw total energies 0.4529 eV per atom. Number 6: formation energy from raw total energies 0.4086 eV per atom. Number 7: formation energy from raw total energies 0.1417 eV per atom. Number 8: formation energy from raw total energies 0.3429 eV per atom.